(1)
A geometry-optimized Rb2NiBr4Cl2 structure, computed with GGA-PBE.

a = 7.3923 Å, b = 7.3923 Å, c = 7.3923 Å
α = 121.27°, β = 121.27°, γ = 87.82°
With the nearest neighbours (Å) after each atom.
Positions (direct):
1 Rb 0.2500 0.7500 0.5000  4 Cl 3.65, 8 Br 3.70
2 Rb 0.7500 0.2500 0.5000  4 Cl 3.65, 8 Br 3.70
3 Ni 0.0000 0.0000 0.0000  2 Cl 2.24, 4 Br 2.43
4 Br 0.2367 0.2367 0.4734  1 Ni 2.43
5 Br 0.2367 0.7633 0.0000  1 Ni 2.43
6 Br 0.7633 0.2367 0.0000  1 Ni 2.43
7 Br 0.7633 0.7633 0.5266  1 Ni 2.43
8 Cl 0.2105 0.2105 0.0000  1 Ni 2.24
9 Cl 0.7895 0.7895 0.0000  1 Ni 2.24

Properties
The electronic total energy is -27.0 eV per cell. Its uncorrected formation energy is -0.992 eV/atom.

(2)
A geometry-optimized NiRuBrCl2 structure, computed with GGA-PBE.

a = 4.5524 Å, b = 4.5524 Å, c = 5.3318 Å
α = 90.00°, β = 90.00°, γ = 90.00°
With the nearest neighbours (Å) after each atom.
Positions (direct):
1 Ni 0.0000 0.0000 0.0000  2 Ru 2.67
2 Ru 0.0000 0.0000 0.5000  4 Cl 2.28
3 Br 0.5000 0.5000 0.0000  4 Ni 3.22, 8 Cl 3.51
4 Cl 0.0000 0.5000 0.5000  2 Ru 2.28
5 Cl 0.5000 0.0000 0.5000  2 Ru 2.28

Properties
The electronic total energy is -18.3 eV per cell. Its uncorrected formation energy is 0.417 eV/atom.

(3)
A geometry-optimized NiRuBr2Cl structure, computed with GGA-PBE.

a = 5.0383 Å, b = 5.0383 Å, c = 4.4417 Å
α = 90.00°, β = 90.00°, γ = 90.00°
With the nearest neighbours (Å) after each atom.
Positions (direct):
1 Ni 0.0000 0.0000 0.0000  2 Cl 2.22
2 Ru 0.5000 0.5000 0.5000  8 Br 3.36, 4 Cl 3.56
3 Br 0.0000 0.5000 0.0000  2 Ni 2.52
4 Br 0.5000 0.0000 0.0000  2 Ni 2.52
5 Cl 0.0000 0.0000 0.5000  2 Ni 2.22

Properties
The electronic total energy is -17.4 eV per cell. Its uncorrected formation energy is 0.573 eV/atom.

(4)
A geometry-optimized NiSe2BrCl structure, computed with GGA-PBE.

a = 5.0090 Å, b = 5.0090 Å, c = 5.1367 Å
α = 90.00°, β = 90.00°, γ = 90.00°
With the nearest neighbours (Å) after each atom.
Positions (direct):
1 Ni 0.0000 0.0000 0.0000  4 Br 3.54, 8 Se 3.59
2 Se 0.0000 0.5000 0.5000  2 Cl 2.50
3 Se 0.5000 0.0000 0.5000  2 Cl 2.50
4 Br 0.5000 0.5000 0.0000  2 Cl 2.57
5 Cl 0.5000 0.5000 0.5000  4 Se 2.50, 2 Br 2.57

Properties
The electronic total energy is -10.3 eV per cell. Its uncorrected formation energy is 1.203 eV/atom.

(5)
A geometry-optimized NiSeBr2Cl structure, computed with GGA-PBE.

a = 5.1559 Å, b = 5.1559 Å, c = 4.9920 Å
α = 90.00°, β = 90.00°, γ = 90.00°
With the nearest neighbours (Å) after each atom.
Positions (direct):
1 Ni 0.0000 0.0000 0.0000  8 Br 3.59, 4 Se 3.65
2 Se 0.5000 0.5000 0.0000  2 Cl 2.50
3 Br 0.0000 0.5000 0.5000  2 Cl 2.58
4 Br 0.5000 0.0000 0.5000  2 Cl 2.58
5 Cl 0.5000 0.5000 0.5000  2 Se 2.50, 4 Br 2.58

Properties
The electronic total energy is -9.2 eV per cell. Its uncorrected formation energy is 1.049 eV/atom.

(6)
A geometry-optimized NiSeBr2Cl structure, computed with GGA-PBE.

a = 4.9322 Å, b = 4.9322 Å, c = 4.6801 Å
α = 90.00°, β = 90.00°, γ = 90.00°
With the nearest neighbours (Å) after each atom.
Positions (direct):
1 Ni 0.0000 0.0000 0.0000  2 Se 2.34, 4 Br 2.47
2 Se 0.0000 0.0000 0.5000  2 Ni 2.34
3 Br 0.0000 0.5000 0.0000  2 Ni 2.47
4 Br 0.5000 0.0000 0.0000  2 Ni 2.47
5 Cl 0.5000 0.5000 0.5000  8 Br 3.40, 4 Se 3.49

Properties
The electronic total energy is -13.1 eV per cell. Its uncorrected formation energy is 0.270 eV/atom.

- The highest electronic total energy belongs to which entry?
  number 5